Entry 1:
A geometry-optimized Fe2BrCl structure. Source: Alexandria via LeMat-Bulk, functional PBE.

The structure in POSCAR format:
```
Fe2BrCl
1.0
4.6188 -0.0473 -0.0168
3.4868 3.0294 -0.0168
3.9345 1.4475 5.8132
Fe Br Cl
2 1 1
direct
0.0397 0.0397 0.1090
0.4603 0.4603 0.3910
0.7500 0.7500 0.7500
0.2500 0.2500 0.2500
```

Properties
Crystal system = monoclinic

***

Entry 2:
A geometry-optimized FeBr2Cl structure. Source: Alexandria via LeMat-Bulk, functional PBE.

The structure in POSCAR format:
```
FeBr2Cl
1.0
4.7650 -0.1781 0.0000
-3.4113 3.3316 0.0000
0.0000 0.0000 8.5254
Fe Br Cl
1 2 1
direct
0.5000 0.5000 0.7500
0.0000 0.0000 0.9502
0.0000 0.0000 0.5498
0.5000 0.5000 0.2500
```

Properties
Crystal system = orthorhombic

***

Entry 3:
A geometry-optimized FeBr3Cl structure. Source: Alexandria via LeMat-Bulk, functional PBE.

The structure in POSCAR format:
```
FeBr3Cl
1.0
6.6032 0.4025 0.0000
-2.0338 6.2933 0.0000
0.0000 0.0000 9.0697
Fe Br Cl
2 6 2
direct
0.3547 0.6327 0.2500
0.6453 0.3673 0.7500
0.7489 0.2641 0.9711
0.2511 0.7359 0.0289
0.7489 0.2641 0.5289
0.2511 0.7359 0.4711
0.1977 0.2842 0.2500
0.8023 0.7158 0.7500
0.6819 0.7707 0.2500
0.3181 0.2293 0.7500
```

Properties
Crystal system = monoclinic

***

no.,ΔE to the lowest computed polymorph (meV per atom),size of the total moment (μB/cell)
1,222,6.137
2,510,2.704
3,0,7.999